# Ce2ThAl2Zn2 PBE-GGA relaxed
data_Ce2ThAl2Zn2
_chemical_formula_sum 'Ce4 Th2 Al4 Zn4'
_cell_length_a 10.616
_cell_length_b 4.153
_cell_length_c 7.383
_cell_angle_alpha 90.00
_cell_angle_beta 102.00
_cell_angle_gamma 90.00
_symmetry_space_group_name_H-M 'P 1'
_symmetry_Int_Tables_number 1
loop_
_symmetry_equiv_pos_as_xyz
'x,y,z'
loop_
_atom_site_label
_atom_site_type_symbol
_atom_site_fract_x
_atom_site_fract_y
_atom_site_fract_z
Ce1 Ce 0.115 0.000 0.436
Ce2 Ce 0.385 0.500 0.564
Ce3 Ce 0.615 0.500 0.436
Ce4 Ce 0.885 0.000 0.564
Th1 Th 0.000 0.000 0.000
Th2 Th 0.500 0.500 0.000
Al1 Al 0.131 0.500 0.758
Al2 Al 0.369 0.000 0.242
Al3 Al 0.631 0.000 0.758
Al4 Al 0.869 0.500 0.242
Zn1 Zn 0.217 0.500 0.144
Zn2 Zn 0.283 0.000 0.856
Zn3 Zn 0.717 0.000 0.144
Zn4 Zn 0.783 0.500 0.856
# E_form   -21 kJ/mol of atoms
# Symmetry   C2/m
# DOS at the Fermi energy   9.384 states/eV/f.u.
# E   -4.407 eV per atom

=====

# Ce2TiAl PBE-GGA relaxed
data_Ce2TiAl
_chemical_formula_sum 'Ce2 Ti1 Al1'
_cell_length_a 4.303
_cell_length_b 4.303
_cell_length_c 4.736
_cell_angle_alpha 90.00
_cell_angle_beta 90.00
_cell_angle_gamma 90.00
_symmetry_space_group_name_H-M 'P 1'
_symmetry_Int_Tables_number 1
loop_
_symmetry_equiv_pos_as_xyz
'x,y,z'
loop_
_atom_site_label
_atom_site_type_symbol
_atom_site_fract_x
_atom_site_fract_y
_atom_site_fract_z
Ce1 Ce 0.000 0.500 0.000
Ce2 Ce 0.500 0.000 0.000
Ti1 Ti 0.000 0.000 0.500
Al1 Al 0.500 0.500 0.500
# E_form   -11 kJ/mol of atoms
# E above lowest polymorph   0.000 eV per formula unit
# Symmetry   P4/mmm
# DOS at the Fermi energy   9.373 states/eV/f.u.
# E   -5.989 eV per atom

=====

# CeTiAl PBE-GGA relaxed
data_CeTiAl
_chemical_formula_sum 'Ce2 Ti2 Al2'
_cell_length_a 6.592
_cell_length_b 5.635
_cell_length_c 5.316
_cell_angle_alpha 73.96
_cell_angle_beta 55.24
_cell_angle_gamma 50.80
_symmetry_space_group_name_H-M 'P 1'
_symmetry_Int_Tables_number 1
loop_
_symmetry_equiv_pos_as_xyz
'x,y,z'
loop_
_atom_site_label
_atom_site_type_symbol
_atom_site_fract_x
_atom_site_fract_y
_atom_site_fract_z
Ce1 Ce 0.176 0.824 0.176
Ce2 Ce 0.824 0.176 0.824
Ti1 Ti 0.250 0.250 0.250
Ti2 Ti 0.750 0.750 0.750
Al1 Al 0.352 0.352 0.648
Al2 Al 0.648 0.648 0.352
# E_form   -1 kJ/mol of atoms
# E above lowest polymorph   0.000 eV per formula unit
# Symmetry   Fmmm
# DOS at the Fermi energy   4.537 states/eV/f.u.
# E   -5.872 eV per atom

=====

# CeTi2Al20 PBE-GGA relaxed
data_CeTi2Al20
_chemical_formula_sum 'Ce2 Ti4 Al40'
_cell_length_a 10.382
_cell_length_b 10.382
_cell_length_c 10.382
_cell_angle_alpha 60.00
_cell_angle_beta 60.00
_cell_angle_gamma 60.00
_symmetry_space_group_name_H-M 'P 1'
_symmetry_Int_Tables_number 1
loop_
_symmetry_equiv_pos_as_xyz
'x,y,z'
loop_
_atom_site_label
_atom_site_type_symbol
_atom_site_fract_x
_atom_site_fract_y
_atom_site_fract_z
Ce1 Ce 0.125 0.125 0.125
Ce2 Ce 0.875 0.875 0.875
Ti1 Ti 0.000 0.500 0.500
Ti2 Ti 0.500 0.000 0.500
Ti3 Ti 0.500 0.500 0.000
Ti4 Ti 0.500 0.500 0.500
Al1 Al 0.000 0.000 0.000
Al2 Al 0.000 0.000 0.500
Al3 Al 0.000 0.500 0.000
Al4 Al 0.057 0.324 0.324
Al5 Al 0.057 0.324 0.795
Al6 Al 0.057 0.795 0.324
Al7 Al 0.205 0.676 0.676
Al8 Al 0.205 0.676 0.943
Al9 Al 0.205 0.943 0.676
Al10 Al 0.237 0.237 0.513
Al11 Al 0.237 0.513 0.237
Al12 Al 0.237 0.513 0.513
Al13 Al 0.324 0.057 0.324
Al14 Al 0.324 0.057 0.795
Al15 Al 0.324 0.324 0.057
Al16 Al 0.324 0.324 0.795
Al17 Al 0.324 0.795 0.057
Al18 Al 0.324 0.795 0.324
Al19 Al 0.487 0.487 0.763
Al20 Al 0.487 0.763 0.487
Al21 Al 0.487 0.763 0.763
Al22 Al 0.500 0.000 0.000
Al23 Al 0.513 0.237 0.237
Al24 Al 0.513 0.237 0.513
Al25 Al 0.513 0.513 0.237
Al26 Al 0.676 0.205 0.676
Al27 Al 0.676 0.205 0.943
Al28 Al 0.676 0.676 0.205
Al29 Al 0.676 0.676 0.943
Al30 Al 0.676 0.943 0.205
Al31 Al 0.676 0.943 0.676
Al32 Al 0.763 0.487 0.487
Al33 Al 0.763 0.487 0.763
Al34 Al 0.763 0.763 0.487
Al35 Al 0.795 0.057 0.324
Al36 Al 0.795 0.324 0.057
Al37 Al 0.795 0.324 0.324
Al38 Al 0.943 0.205 0.676
Al39 Al 0.943 0.676 0.205
Al40 Al 0.943 0.676 0.676
# E_form   -25 kJ/mol of atoms
# Symmetry   Fd-3m
# DOS at the Fermi energy   7.287 states/eV/f.u.
# E   -4.461 eV per atom

=====

# Ce2TiAl PBE-GGA relaxed
data_Ce2TiAl
_chemical_formula_sum 'Ce6 Ti3 Al3'
_cell_length_a 3.000
_cell_length_b 3.000
_cell_length_c 32.981
_cell_angle_alpha 90.00
_cell_angle_beta 90.00
_cell_angle_gamma 120.00
_symmetry_space_group_name_H-M 'P 1'
_symmetry_Int_Tables_number 1
loop_
_symmetry_equiv_pos_as_xyz
'x,y,z'
loop_
_atom_site_label
_atom_site_type_symbol
_atom_site_fract_x
_atom_site_fract_y
_atom_site_fract_z
Ce1 Ce 0.000 0.000 0.084
Ce2 Ce 0.000 0.000 0.916
Ce3 Ce 0.333 0.667 0.583
Ce4 Ce 0.333 0.667 0.751
Ce5 Ce 0.667 0.333 0.249
Ce6 Ce 0.667 0.333 0.417
Ti1 Ti 0.000 0.000 0.000
Ti2 Ti 0.333 0.667 0.667
Ti3 Ti 0.667 0.333 0.333
Al1 Al 0.000 0.000 0.500
Al2 Al 0.333 0.667 0.167
Al3 Al 0.667 0.333 0.833
# E_form   12 kJ/mol of atoms
# E above lowest polymorph   0.960 eV per formula unit
# Symmetry   R-3m
# DOS at the Fermi energy   7.080 states/eV/f.u.
# E   -5.749 eV per atom

=====

# CeTi2Al PBE-GGA relaxed
data_CeTi2Al
_chemical_formula_sum 'Ce4 Ti8 Al4'
_cell_length_a 6.690
_cell_length_b 6.690
_cell_length_c 6.690
_cell_angle_alpha 90.00
_cell_angle_beta 90.00
_cell_angle_gamma 90.00
_symmetry_space_group_name_H-M 'P 1'
_symmetry_Int_Tables_number 1
loop_
_symmetry_equiv_pos_as_xyz
'x,y,z'
loop_
_atom_site_label
_atom_site_type_symbol
_atom_site_fract_x
_atom_site_fract_y
_atom_site_fract_z
Ce1 Ce 0.000 0.000 0.000
Ce2 Ce 0.000 0.500 0.500
Ce3 Ce 0.500 0.000 0.500
Ce4 Ce 0.500 0.500 0.000
Ti1 Ti 0.250 0.250 0.250
Ti2 Ti 0.250 0.250 0.750
Ti3 Ti 0.250 0.750 0.250
Ti4 Ti 0.250 0.750 0.750
Ti5 Ti 0.750 0.250 0.250
Ti6 Ti 0.750 0.250 0.750
Ti7 Ti 0.750 0.750 0.250
Ti8 Ti 0.750 0.750 0.750
Al1 Al 0.000 0.000 0.500
Al2 Al 0.000 0.500 0.000
Al3 Al 0.500 0.000 0.000
Al4 Al 0.500 0.500 0.500
# E_form   -6 kJ/mol of atoms
# E above lowest polymorph   0.093 eV per formula unit
# Symmetry   Fm-3m
# DOS at the Fermi energy   4.860 states/eV/f.u.
# E   -6.427 eV per atom

=====

# CeTi2Al PBE-GGA relaxed
data_CeTi2Al
_chemical_formula_sum 'Ce1 Ti2 Al1'
_cell_length_a 4.416
_cell_length_b 4.416
_cell_length_c 3.928
_cell_angle_alpha 90.00
_cell_angle_beta 90.00
_cell_angle_gamma 90.00
_symmetry_space_group_name_H-M 'P 1'
_symmetry_Int_Tables_number 1
loop_
_symmetry_equiv_pos_as_xyz
'x,y,z'
loop_
_atom_site_label
_atom_site_type_symbol
_atom_site_fract_x
_atom_site_fract_y
_atom_site_fract_z
Ce1 Ce 0.000 0.000 0.000
Ti1 Ti 0.000 0.500 0.500
Ti2 Ti 0.500 0.000 0.500
Al1 Al 0.500 0.500 0.000
# E_form   -8 kJ/mol of atoms
# E above lowest polymorph   0.000 eV per formula unit
# Symmetry   P4/mmm
# DOS at the Fermi energy   6.738 states/eV/f.u.
# E   -6.450 eV per atom

=====

# CeTi2Al PBE-GGA relaxed
data_CeTi2Al
_chemical_formula_sum 'Ce1 Ti2 Al1'
_cell_length_a 2.893
_cell_length_b 2.893
_cell_length_c 9.042
_cell_angle_alpha 90.00
_cell_angle_beta 90.00
_cell_angle_gamma 90.00
_symmetry_space_group_name_H-M 'P 1'
_symmetry_Int_Tables_number 1
loop_
_symmetry_equiv_pos_as_xyz
'x,y,z'
loop_
_atom_site_label
_atom_site_type_symbol
_atom_site_fract_x
_atom_site_fract_y
_atom_site_fract_z
Ce1 Ce 0.000 0.000 0.000
Ti1 Ti 0.500 0.500 0.286
Ti2 Ti 0.500 0.500 0.714
Al1 Al 0.000 0.000 0.500
# E_form   -8 kJ/mol of atoms
# E above lowest polymorph   0.013 eV per formula unit
# Symmetry   P4/mmm
# DOS at the Fermi energy   6.868 states/eV/f.u.
# E   -6.447 eV per atom